{"formula": "KBa2TlPd", "functional": "PBE", "state": "optimized geometry", "de_polymorph_mev_per_atom": 0, "delta_e_f_ev_per_atom": -0.23, "m_tot_mub_per_fu": 0.82, "cell": [[6.285, 0.000, 0.000], [0.000, 6.285, 0.000], [0.000, 0.000, 5.492]], "species": ["Pd", "Ba", "Tl", "Ba", "K"], "fractional_positions": [[0.000, 0.000, 0.000], [0.500, 0.000, 0.000], [0.000, 0.000, 0.500], [0.000, 0.500, 0.000], [0.500, 0.500, 0.500]]}

---

{"formula": "KBaTl2Pd", "functional": "PBE", "state": "optimized geometry", "de_polymorph_mev_per_atom": 64, "delta_e_f_ev_per_atom": -0.12, "m_tot_mub_per_fu": 0.00, "cell": [[-2.822, -4.525, 1.126], [0.719, -1.723, -5.121], [4.890, -2.656, 1.581]], "species": ["Tl", "K", "Pd", "Tl", "Ba"], "fractional_positions": [[0.500, 0.000, 0.000], [0.000, 0.000, 0.500], [0.000, 0.000, 0.000], [0.000, 0.500, 0.000], [0.500, 0.500, 0.500]]}

---

{"formula": "KBa2TlPd", "functional": "PBE", "state": "optimized geometry", "de_polymorph_mev_per_atom": 89, "delta_e_f_ev_per_atom": -0.14, "m_tot_mub_per_fu": 0.00, "cell": [[6.147, 0.000, 0.000], [0.000, 6.147, 0.000], [0.000, 0.000, 6.146]], "species": ["Ba", "Ba", "K", "Pd", "Tl"], "fractional_positions": [[0.000, 0.500, 0.000], [0.500, 0.000, 0.000], [0.000, 0.000, 0.500], [0.000, 0.000, 0.000], [0.500, 0.500, 0.500]]}

---

{"formula": "KBa2PdW", "functional": "PBE", "state": "optimized geometry", "delta_e_f_ev_per_atom": 0.71, "m_tot_mub_per_fu": 2.25, "cell": [[-3.033, -2.570, -5.007], [3.427, -3.673, -0.190], [-3.561, -3.528, 3.968]], "species": ["W", "Pd", "K", "Ba", "Ba"], "fractional_positions": [[0.000, 0.500, 0.000], [0.000, 0.000, 0.000], [0.500, 0.500, 0.500], [0.000, 0.000, 0.500], [0.500, 0.000, 0.000]]}

---

{"formula": "KBa2PmSe4", "functional": "PBE", "state": "optimized geometry", "e_form_raw_kcal_per_mol_atoms": -42.06, "m_tot_mub_per_fu": 0.00, "cell": [[-0.575, -4.516, 0.091], [6.136, -0.877, -4.765], [6.591, -0.750, 4.430]], "species": ["K", "Se", "Ba", "Ba", "Se", "Se", "Se", "Pm"], "fractional_positions": [[0.500, 0.500, 0.000], [0.500, 0.725, 0.273], [0.500, 0.000, 0.500], [0.000, 0.000, 0.000], [0.000, 0.735, 0.730], [0.000, 0.265, 0.270], [0.500, 0.275, 0.727], [0.000, 0.500, 0.500]]}

---

{"formula": "KBaPr", "functional": "PBE", "state": "optimized geometry", "delta_e_f_ev_per_atom": 0.10, "m_tot_mub_per_fu": 0.00, "cell": [[4.096, 0.000, 0.000], [0.000, 4.096, 0.000], [0.000, 0.000, 19.189]], "species": ["Ba", "Ba", "Pr", "K", "K", "Pr"], "fractional_positions": [[0.500, 0.000, 0.794], [0.000, 0.500, 0.206], [0.500, 0.000, 0.057], [0.000, 0.500, 0.599], [0.500, 0.000, 0.401], [0.000, 0.500, 0.943]]}

---

{"formula": "KBa2PrS4", "functional": "PBE", "state": "optimized geometry", "e_form_raw_kcal_per_mol_atoms": -43.45, "m_tot_mub_per_fu": 0.00, "cell": [[-4.398, -0.045, -0.421], [0.727, -0.936, -7.496], [0.225, -7.548, -1.538]], "species": ["K", "S", "S", "Pr", "S", "Ba", "S", "Ba"], "fractional_positions": [[0.500, 0.500, 0.000], [0.000, 0.738, 0.728], [0.000, 0.262, 0.272], [0.000, 0.500, 0.500], [0.500, 0.728, 0.273], [0.500, 0.000, 0.500], [0.500, 0.272, 0.727], [0.000, 0.000, 0.000]]}

---

{"formula": "KBa2PrSe4", "functional": "PBE", "state": "optimized geometry", "e_form_raw_kcal_per_mol_atoms": -42.22, "m_tot_mub_per_fu": 0.00, "cell": [[-2.189, -3.887, 1.032], [0.823, -2.437, -7.428], [6.875, -4.039, -0.626]], "species": ["Se", "Pr", "Se", "Ba", "K", "Ba", "Se", "Se"], "fractional_positions": [[0.000, 0.738, 0.731], [0.000, 0.500, 0.500], [0.500, 0.728, 0.271], [0.500, 0.000, 0.500], [0.500, 0.500, 0.000], [0.000, 0.000, 0.000], [0.000, 0.262, 0.269], [0.500, 0.272, 0.729]]}

---

{"formula": "KBaPt2", "functional": "PBE", "state": "optimized geometry", "delta_e_f_ev_per_atom": 0.12, "m_tot_mub_per_fu": 0.00, "cell": [[-8.033, 3.356, -2.671], [-7.638, -0.017, -4.958], [-9.033, -0.299, -1.119]], "species": ["Ba", "K", "Pt", "Pt"], "fractional_positions": [[0.250, 0.250, 0.250], [0.750, 0.750, 0.750], [0.995, 0.995, 0.995], [0.505, 0.505, 0.505]]}

---

{"formula": "KBa2Pt", "functional": "PBE", "state": "optimized geometry", "de_polymorph_mev_per_atom": 0, "delta_e_f_ev_per_atom": -0.48, "m_tot_mub_per_fu": 0.00, "cell": [[-4.374, 1.569, -0.155], [1.010, -3.835, 2.425], [1.929, 6.275, 9.090]], "species": ["K", "Pt", "Ba", "Ba"], "fractional_positions": [[0.000, 0.000, 0.000], [0.000, 0.000, 0.500], [0.667, 0.334, 0.649], [0.333, 0.666, 0.351]]}

---

{"formula": "KBa2Pt", "functional": "PBE", "state": "optimized geometry", "de_polymorph_mev_per_atom": 310, "delta_e_f_ev_per_atom": -0.16, "m_tot_mub_per_fu": 0.49, "cell": [[-1.258, 1.734, -3.463], [2.414, -2.494, -2.129], [-8.401, -7.520, -0.715]], "species": ["Ba", "K", "Ba", "Pt"], "fractional_positions": [[0.500, 0.500, 0.237], [0.000, 0.000, 0.583], [0.000, 0.000, 0.901], [0.500, 0.500, 0.779]]}

---

{"formula": "KBaPt2", "functional": "PBE", "state": "optimized geometry", "delta_e_f_ev_per_atom": 0.01, "m_tot_mub_per_fu": 0.00, "cell": [[-0.952, 2.855, 0.801], [0.190, -1.486, 5.519], [5.943, 1.895, 0.306]], "species": ["K", "Pt", "Ba", "Pt"], "fractional_positions": [[0.500, 0.500, 0.875], [0.000, 0.000, 0.875], [0.000, 0.000, 0.375], [0.500, 0.500, 0.375]]}

---

{"formula": "K2BaPt", "functional": "PBE", "state": "optimized geometry", "delta_e_f_ev_per_atom": -0.12, "m_tot_mub_per_fu": 0.00, "cell": [[-4.256, -7.375, -1.126], [2.042, -6.856, -4.755], [1.654, 5.667, 6.239]], "species": ["Pt", "K", "Ba", "K"], "fractional_positions": [[0.515, 0.515, 0.000], [0.990, 0.990, 0.000], [0.652, 0.152, 0.500], [0.344, 0.844, 0.500]]}

---

{"formula": "K2BaPt", "functional": "PBE", "state": "optimized geometry", "delta_e_f_ev_per_atom": -0.24, "m_tot_mub_per_fu": 0.00, "cell": [[4.265, 0.000, 0.000], [0.000, 4.618, 0.006], [0.000, 2.279, 9.743]], "species": ["Ba", "Pt", "K", "K"], "fractional_positions": [[0.500, 0.741, 0.643], [0.000, 0.265, 0.595], [0.000, 0.086, 0.955], [0.500, 0.408, 0.308]]}